# Mn2InAg

A relaxed Mn2InAg crystal (PBE, Alexandria via LeMat-Bulk).

a b c (Å): 3.0399 4.6782 4.8886
angles (deg): 90.00 90.00 90.00
Last column: nearest neighbours and their distance in Å.
Sites, in units of the cell vectors:
Mn  0.0000  0.0000  0.0000  4 In 2.85-2.90, 4 Ag 2.86, 4 Mn 2.93-3.04
Mn  0.0000  0.5000  0.3622  4 Ag 2.85-2.91, 4 In 2.86, 4 Mn 2.93-3.04
In  0.5000  0.0000  0.4943  8 Mn 2.85-2.90, 2 Ag 2.97, 2 In 3.04
Ag  0.5000  0.5000  0.8693  8 Mn 2.85-2.91, 2 In 2.97, 2 Ag 3.04

ΔH_f (0 K) = 0.271 eV/atom
Fermi-level density of states = 3.8 states/eV per cell
SG = No. 25